Entry A
# LaThSbTe

A relaxed structure of LaThSbTe (PBE, Alexandria via LeMat-Bulk).

abc: 5.509 5.509 5.509
angles: 60.00 60.00 60.00
Element x y z (fractional)
La  0.000  0.000  0.000
Th  0.500  0.500  0.500
Sb  0.750  0.750  0.750
Te  0.250  0.250  0.250

**Spin magnetization**: 0.212 μB/f.u.
**Fermi-level density of states**: 3.43 states/eV/f.u.

***

Entry B
# LaThSbTe

A relaxed structure of LaThSbTe (PBE, Alexandria via LeMat-Bulk).

abc: 4.537 4.537 6.417
angles: 90.00 90.00 90.00
Element x y z (fractional)
La  0.000  0.000  0.000
Th  0.500  0.500  0.500
Sb  0.000  0.000  0.500
Te  0.500  0.500  0.000

**Spin magnetization**: 0.000 μB/f.u.
**Fermi-level density of states**: 2.60 states/eV/f.u.

***

It comes down to entry B, which is 0.130 eV/atom more stable than the next structure.